# V2SiTc

A relaxed structure of V2SiTc (PBE, Alexandria via LeMat-Bulk).

Values from the calculation:
- symmetry = Cm
- VASP energy (eV per atom) = -8.92
- magnetization (μB per formula unit) = 0.00

Cell lengths 3.080, 4.871, 6.538 Å; angles 51.66, 45.08, 71.61 degrees
Fractional coordinates of all 4 atoms:
V (0.126, 0.728, 0.782)
V (0.110, 0.487, 0.540)
Si (0.111, 0.986, 0.040)
Tc (0.102, 0.242, 0.294)